[1]
Crystalline NaBi5Pt3 at its relaxed geometry, computed with PBE-GGA.

Unit cell a=7.5962 b=7.5962 c=10.3083 alpha=106.68 beta=106.68 gamma=70.87
With the nearest neighbours (Å) after each atom.
Fractional positions:
Na (0.1038, 0.1038, 0.2959)  3 Pt 2.82-3.04
Na (0.8962, 0.8962, 0.7041)  3 Pt 2.82-3.04
Bi (0.0288, 0.6261, 0.3644)  3 Pt 2.75-2.84
Bi (0.2291, 0.2291, 0.0243)  3 Pt 2.71-2.76
Bi (0.3052, 0.6948, 0.0000)  3 Pt 2.69-2.82
Bi (0.3739, 0.9712, 0.6356)  3 Pt 2.75-2.84
Bi (0.4122, 0.4122, 0.6061)  3 Pt 2.75-2.97
Bi (0.5878, 0.5878, 0.3939)  3 Pt 2.75-2.97
Bi (0.6261, 0.0288, 0.3644)  3 Pt 2.75-2.84
Bi (0.6948, 0.3052, 0.0000)  3 Pt 2.69-2.82
Bi (0.7709, 0.7709, 0.9757)  3 Pt 2.71-2.76
Bi (0.9712, 0.3739, 0.6356)  3 Pt 2.75-2.84
Pt (0.0000, 0.0000, 0.0000)  4 Bi 2.69-2.76, 2 Na 2.86
Pt (0.0000, 0.0000, 0.5000)  4 Bi 2.75, 2 Na 2.82
Pt (0.3305, 0.3305, 0.8249)  6 Bi 2.76-2.84
Pt (0.3506, 0.3506, 0.3003)  5 Bi 2.71-2.97
Pt (0.6494, 0.6494, 0.6997)  5 Bi 2.71-2.97
Pt (0.6695, 0.6695, 0.1751)  6 Bi 2.76-2.84

E_tot: -4.44 eV/atom
calculated density: 10.44 g/cm3
size of the total moment: 0.00 μB per formula unit
calculated formation energy: -1.12 eV/f.u.
space-group type: C2/m (12)


[2]
Crystalline Na2Bi5Pt3 at its relaxed geometry, computed with PBE-GGA.

Unit cell a=14.3514 b=14.3514 c=7.7588 alpha=90.00 beta=90.00 gamma=161.57
With the nearest neighbours (Å) after each atom.
Fractional positions:
Na (0.0245, 0.9755, 0.5000)  3 Pt 2.96-3.25, 2 Bi 3.27
Na (0.3303, 0.6697, 0.4489)  7 Bi 3.28-3.67, 2 Pt 3.35
Na (0.6697, 0.3303, 0.9489)  7 Bi 3.28-3.67, 2 Pt 3.35
Na (0.9755, 0.0245, 0.0000)  3 Pt 2.96-3.25, 2 Bi 3.27
Bi (0.0958, 0.9042, 0.1165)  3 Pt 2.75-2.86
Bi (0.2034, 0.7966, 0.6729)  4 Pt 2.89-2.96
Bi (0.2088, 0.7912, 0.2415)  3 Pt 2.88
Bi (0.3826, 0.6174, 0.0041)  4 Pt 2.91-3.11
Bi (0.4559, 0.5441, 0.3357)  4 Pt 2.83-2.99
Bi (0.5441, 0.4559, 0.8357)  4 Pt 2.83-2.99
Bi (0.6174, 0.3826, 0.5041)  4 Pt 2.91-3.11
Bi (0.7912, 0.2088, 0.7415)  3 Pt 2.88
Bi (0.7966, 0.2034, 0.1729)  4 Pt 2.89-2.96
Bi (0.9042, 0.0958, 0.6165)  3 Pt 2.75-2.86
Pt (0.1034, 0.8966, 0.7494)  6 Bi 2.86-3.01, 1 Na 2.96
Pt (0.2738, 0.7262, 0.9556)  7 Bi 2.88-3.11
Pt (0.4495, 0.5505, 0.7202)  5 Bi 2.75-2.99
Pt (0.5505, 0.4495, 0.2202)  5 Bi 2.75-2.99
Pt (0.7262, 0.2738, 0.4556)  7 Bi 2.88-3.11
Pt (0.8966, 0.1034, 0.2494)  6 Bi 2.86-3.01, 1 Na 2.96

E_tot: -4.32 eV/atom
calculated density: 11.02 g/cm3
size of the total moment: 0.00 μB per formula unit
calculated formation energy: -3.06 eV/f.u.
space-group type: Cmc2_1 (36)


[3]
Crystalline NaBiPt at its relaxed geometry, computed with PBE-GGA.

Unit cell a=7.6176 b=4.7092 c=8.1162 alpha=90.00 beta=90.00 gamma=90.00
With the nearest neighbours (Å) after each atom.
Fractional positions:
Na (0.0138, 0.2500, 0.1797)  5 Pt 3.17-3.44, 6 Bi 3.35-3.48
Na (0.4862, 0.7500, 0.6797)  5 Pt 3.17-3.44, 6 Bi 3.35-3.48
Na (0.5138, 0.2500, 0.3203)  5 Pt 3.17-3.44, 6 Bi 3.35-3.48
Na (0.9862, 0.7500, 0.8203)  5 Pt 3.17-3.44, 6 Bi 3.35-3.48
Bi (0.1741, 0.2500, 0.5818)  4 Pt 2.77-2.83
Bi (0.3259, 0.7500, 0.0818)  4 Pt 2.77-2.83
Bi (0.6741, 0.2500, 0.9182)  4 Pt 2.77-2.83
Bi (0.8259, 0.7500, 0.4182)  4 Pt 2.77-2.83
Pt (0.1964, 0.7500, 0.4002)  4 Bi 2.77-2.83
Pt (0.3036, 0.2500, 0.9002)  4 Bi 2.77-2.83
Pt (0.6964, 0.7500, 0.0998)  4 Bi 2.77-2.83
Pt (0.8036, 0.2500, 0.5998)  4 Bi 2.77-2.83

E_tot: -4.11 eV/atom
distance to the lowest polymorph of the same formula: 0 meV per atom
calculated density: 9.74 g/cm3
size of the total moment: 0.00 μB per formula unit
calculated formation energy: -1.09 eV/f.u.
space-group type: Pnma (62)


[4]
Crystalline NaBi4Pt2 at its relaxed geometry, computed with PBE-GGA.

Unit cell a=7.4048 b=7.4048 c=8.7699 alpha=110.30 beta=110.30 gamma=100.23
With the nearest neighbours (Å) after each atom.
Fractional positions:
Na (0.1241, 0.8759, 0.7500)  4 Bi 3.22-3.23
Na (0.8759, 0.1241, 0.2500)  4 Bi 3.22-3.23
Bi (0.1728, 0.6546, 0.3850)  3 Pt 2.78-2.88
Bi (0.2699, 0.2877, 0.1152)  3 Pt 2.78-2.88
Bi (0.2877, 0.2699, 0.6152)  3 Pt 2.78-2.88
Bi (0.3454, 0.8272, 0.1150)  3 Pt 2.78-2.88
Bi (0.6546, 0.1728, 0.8850)  3 Pt 2.78-2.88
Bi (0.7123, 0.7301, 0.3848)  3 Pt 2.78-2.88
Bi (0.7301, 0.7123, 0.8848)  3 Pt 2.78-2.88
Bi (0.8272, 0.3454, 0.6150)  3 Pt 2.78-2.88
Pt (0.0000, 0.5000, 0.0000)  6 Bi 2.78-2.88
Pt (0.5000, 0.0000, 0.5000)  6 Bi 2.78-2.88
Pt (0.5000, 0.5000, 0.0000)  6 Bi 2.78-2.88
Pt (0.5000, 0.5000, 0.5000)  6 Bi 2.78-2.88

E_tot: -4.34 eV/atom
distance to the lowest polymorph of the same formula: 63 meV per atom
calculated density: 10.42 g/cm3
size of the total moment: 0.00 μB per formula unit
calculated formation energy: -1.48 eV/f.u.
space-group type: C2/c (15)


[5]
Crystalline NaBi4Pt2 at its relaxed geometry, computed with PBE-GGA.

Unit cell a=20.2837 b=4.5433 c=7.8563 alpha=90.00 beta=90.00 gamma=90.00
With the nearest neighbours (Å) after each atom.
Fractional positions:
Na (0.1417, 0.2500, 0.0375)  7 Bi 3.25-3.62, 2 Pt 3.51
Na (0.3583, 0.7500, 0.5375)  7 Bi 3.25-3.62, 2 Pt 3.51
Na (0.6417, 0.2500, 0.4625)  7 Bi 3.25-3.62, 2 Pt 3.51
Na (0.8583, 0.7500, 0.9625)  7 Bi 3.25-3.62, 2 Pt 3.51
Bi (0.0332, 0.7500, 0.8719)  3 Pt 2.89-3.01
Bi (0.0685, 0.2500, 0.4881)  4 Pt 2.98-3.04
Bi (0.1844, 0.7500, 0.3111)  4 Pt 2.92-2.99, 2 Na 3.25
Bi (0.1915, 0.7500, 0.7424)  3 Pt 2.88-2.91
Bi (0.3085, 0.2500, 0.2424)  3 Pt 2.88-2.91
Bi (0.3156, 0.2500, 0.8111)  4 Pt 2.92-2.99, 2 Na 3.25
Bi (0.4315, 0.7500, 0.9881)  4 Pt 2.98-3.04
Bi (0.4668, 0.2500, 0.3719)  3 Pt 2.89-3.01
Bi (0.5332, 0.7500, 0.6281)  3 Pt 2.89-3.01
Bi (0.5685, 0.2500, 0.0119)  4 Pt 2.98-3.04
Bi (0.6844, 0.7500, 0.1889)  4 Pt 2.92-2.99, 2 Na 3.25
Bi (0.6915, 0.7500, 0.7576)  3 Pt 2.88-2.91
Bi (0.8085, 0.2500, 0.2576)  3 Pt 2.88-2.91
Bi (0.8156, 0.2500, 0.6889)  4 Pt 2.92-2.99, 2 Na 3.25
Bi (0.9315, 0.7500, 0.5119)  4 Pt 2.98-3.04
Bi (0.9668, 0.2500, 0.1281)  3 Pt 2.89-3.01
Pt (0.0399, 0.7500, 0.2541)  7 Bi 2.89-3.01
Pt (0.2174, 0.2500, 0.5279)  7 Bi 2.88-3.04
Pt (0.2826, 0.7500, 0.0279)  7 Bi 2.88-3.04
Pt (0.4601, 0.2500, 0.7541)  7 Bi 2.89-3.01
Pt (0.5399, 0.7500, 0.2459)  7 Bi 2.89-3.01
Pt (0.7174, 0.2500, 0.9721)  7 Bi 2.88-3.04
Pt (0.7826, 0.7500, 0.4721)  7 Bi 2.88-3.04
Pt (0.9601, 0.2500, 0.7459)  7 Bi 2.89-3.01

E_tot: -4.41 eV/atom
distance to the lowest polymorph of the same formula: 0 meV per atom
calculated density: 11.46 g/cm3
size of the total moment: 0.00 μB per formula unit
calculated formation energy: -1.92 eV/f.u.
space-group type: Pnma (62)


[6]
Crystalline NaBi2Pt2 at its relaxed geometry, computed with PBE-GGA.

Unit cell a=7.8701 b=7.8701 c=3.6892 alpha=90.00 beta=90.00 gamma=90.00
With the nearest neighbours (Å) after each atom.
Fractional positions:
Na (0.0000, 0.0000, 0.0000)  4 Pt 3.08
Na (0.5000, 0.5000, 0.0000)  4 Pt 3.08
Bi (0.1644, 0.3356, 0.5000)  6 Pt 2.92-2.98
Bi (0.3356, 0.8356, 0.5000)  6 Pt 2.92-2.98
Bi (0.6644, 0.1644, 0.5000)  6 Pt 2.92-2.98
Bi (0.8356, 0.6644, 0.5000)  6 Pt 2.92-2.98
Pt (0.1320, 0.6320, 0.0000)  6 Bi 2.92-2.98, 1 Pt 2.94, 2 Na 3.08
Pt (0.3680, 0.1320, 0.0000)  6 Bi 2.92-2.98, 1 Pt 2.94, 2 Na 3.08
Pt (0.6320, 0.8680, 0.0000)  6 Bi 2.92-2.98, 1 Pt 2.94, 2 Na 3.08
Pt (0.8680, 0.3680, 0.0000)  6 Bi 2.92-2.98, 1 Pt 2.94, 2 Na 3.08

E_tot: -4.46 eV/atom
distance to the lowest polymorph of the same formula: 63 meV per atom
calculated density: 12.08 g/cm3
size of the total moment: 0.00 μB per formula unit
calculated formation energy: -1.14 eV/f.u.
space-group type: P4/mbm (127)